--- i ---
# TaBePCl2

A relaxed structure of TaBePCl2 (GGA-PBE, the Alexandria database).

Cell lengths 4.788, 4.788, 4.972 Å; angles 90.00, 90.00, 90.00 degrees
Sites, in units of the cell vectors:
Ta: 0.000 0.000 0.000
Be: 0.500 0.500 0.500
P: 0.000 0.000 0.500
Cl: 0.000 0.500 0.000
Cl: 0.500 0.000 0.000

## Properties
crystal system: tetragonal
DOS(E_F): 0.528 states/eV per atom
spin magnetization: 0.000 μB/cell
symmetry: No. 123


--- ii ---
# TaBePCl2

A relaxed structure of TaBePCl2 (GGA-PBE, the Alexandria database).

Cell lengths 3.917, 3.917, 7.916 Å; angles 90.00, 90.00, 90.00 degrees
Sites, in units of the cell vectors:
Ta: 0.000 0.000 0.000
Be: 0.500 0.500 0.500
P: 0.500 0.500 0.000
Cl: 0.000 0.500 0.500
Cl: 0.500 0.000 0.500

## Properties
crystal system: tetragonal
DOS(E_F): 0.516 states/eV per atom
spin magnetization: 1.833 μB/cell
symmetry: No. 123


ii takes first place; second place is 27 meV per atom up.